! GGA-PBE AlHg2Ir2, optimized geometry; values from VASP
&SYSTEM
  ibrav = 0, nat = 10, ntyp = 3
/
ATOMIC_SPECIES
Al 26.98 Al.upf
Hg 200.59 Hg.upf
Ir 192.22 Ir.upf
ATOMIC_POSITIONS angstrom
Al 0.000 0.000 0.000
Al 3.206 3.206 0.000
Hg 1.085 2.120 2.223
Hg 2.120 5.326 2.223
Hg 4.291 1.085 2.223
Hg 5.326 4.291 2.223
Ir 0.901 4.107 0.000
Ir 2.305 0.901 0.000
Ir 4.107 5.511 0.000
Ir 5.511 2.305 0.000
CELL_PARAMETERS angstrom
6.412 0.000 0.000
0.000 6.412 0.000
0.000 0.000 4.447
! **M_tot**: 0.000 μB per formula unit
! **Fermi-level density of states**: 2.1 states/eV per cell
! **SG**: No. 127
! **DFT formation energy**: 0.01 eV per atom